1.
A plane-wave DFT calculation with GGA-PBE was carried out for an optimized crystal structure of Tl3RhI.

Magnetization (μB per atom): 0.000
N(E_F) (states/eV/f.u.): 2.45
Relative energy among the computed polymorphs (meV per atom): 325
Formation energy without anion corrections (eV per atom): 0.06

a b c (Å): 6.770 12.074 7.117
angles (deg): 90.00 90.00 90.00
Fractional coordinates of all 20 atoms:
Tl: 0.046 0.120 0.105
Tl: 0.046 0.380 0.105
Tl: 0.223 0.250 0.695
Tl: 0.277 0.750 0.195
Tl: 0.454 0.620 0.605
Tl: 0.454 0.880 0.605
Tl: 0.546 0.120 0.395
Tl: 0.546 0.380 0.395
Tl: 0.723 0.250 0.805
Tl: 0.777 0.750 0.305
Tl: 0.954 0.620 0.895
Tl: 0.954 0.880 0.895
Rh: 0.091 0.750 0.555
Rh: 0.409 0.250 0.055
Rh: 0.591 0.750 0.945
Rh: 0.909 0.250 0.445
I: 0.000 0.000 0.500
I: 0.000 0.500 0.500
I: 0.500 0.000 0.000
I: 0.500 0.500 0.000

=====

2.
A plane-wave DFT calculation with GGA-PBE was carried out for an optimized crystal structure of HfFe4Pt.

Magnetization (μB per atom): 1.465
N(E_F) (states/eV/f.u.): 7.39
Formation energy from the elements (eV/atom): -0.330

a b c (Å): 4.857 4.857 4.857
angles (deg): 60.00 60.00 60.00
Fractional coordinates of all 6 atoms:
Hf: 0.000 0.000 0.000
Fe: 0.123 0.626 0.626
Fe: 0.626 0.123 0.626
Fe: 0.626 0.626 0.123
Fe: 0.626 0.626 0.626
Pt: 0.250 0.250 0.250

=====

3.
A plane-wave DFT calculation with GGA-PBE was carried out for an optimized crystal structure of Li6P2Pt.

Magnetization (μB per atom): 0.000
N(E_F) (states/eV/f.u.): 8.60
Relative energy among the computed polymorphs (meV per atom): 614
Formation energy from the elements (eV/atom): -0.014

a b c (Å): 5.909 5.909 5.909
angles (deg): 60.00 60.00 60.00
Fractional coordinates of all 9 atoms:
Li: 0.228 0.228 0.772
Li: 0.228 0.772 0.228
Li: 0.228 0.772 0.772
Li: 0.772 0.228 0.228
Li: 0.772 0.228 0.772
Li: 0.772 0.772 0.228
P: 0.250 0.250 0.250
P: 0.750 0.750 0.750
Pt: 0.500 0.500 0.500

=====

4.
A plane-wave DFT calculation with GGA-PBE was carried out for an optimized crystal structure of Pa2Co4CuGe3.

Magnetization (μB per atom): 0.000
N(E_F) (states/eV/f.u.): 11.36
Formation energy from the elements (eV/atom): -0.445

a b c (Å): 3.897 3.897 10.187
angles (deg): 90.00 90.00 90.00
Fractional coordinates of all 10 atoms:
Pa: 0.000 0.500 0.242
Pa: 0.500 0.000 0.758
Co: 0.000 0.000 0.500
Co: 0.000 0.500 0.856
Co: 0.500 0.000 0.144
Co: 0.500 0.500 0.500
Cu: 0.500 0.500 0.000
Ge: 0.000 0.000 0.000
Ge: 0.000 0.500 0.627
Ge: 0.500 0.000 0.373

=====

5.
A plane-wave DFT calculation with GGA-PBE was carried out for an optimized crystal structure of ErTc2GeC.

Magnetization (μB per atom): 0.000
N(E_F) (states/eV/f.u.): 3.20
Formation energy from the elements (eV/atom): -0.375

a b c (Å): 5.847 5.847 7.464
angles (deg): 90.00 90.00 141.18
Fractional coordinates of all 10 atoms:
Er: 0.041 0.959 0.750
Er: 0.959 0.041 0.250
Tc: 0.331 0.669 0.558
Tc: 0.331 0.669 0.942
Tc: 0.669 0.331 0.058
Tc: 0.669 0.331 0.442
Ge: 0.235 0.765 0.250
Ge: 0.765 0.235 0.750
C: 0.500 0.500 0.000
C: 0.500 0.500 0.500

=====

6.
A plane-wave DFT calculation with GGA-PBE was carried out for an optimized crystal structure of U3Ag2S8.

Magnetization (μB per atom): 0.308
N(E_F) (states/eV/f.u.): 17.80
Relative energy among the computed polymorphs (meV per atom): 4
Formation energy without anion corrections (eV per atom): -0.97

a b c (Å): 7.680 7.680 6.916
angles (deg): 108.12 108.12 62.90
Fractional coordinates of all 13 atoms:
U: 0.000 0.000 0.000
U: 0.256 0.744 0.500
U: 0.744 0.256 0.500
Ag: 0.333 0.333 0.888
Ag: 0.667 0.667 0.112
S: 0.115 0.115 0.744
S: 0.122 0.655 0.744
S: 0.345 0.878 0.256
S: 0.381 0.381 0.283
S: 0.619 0.619 0.717
S: 0.655 0.122 0.744
S: 0.878 0.345 0.256
S: 0.885 0.885 0.256

=====

| no. | calculated volume (A^3/atom) |
| --- | --- |
| 1 | 29.09 |
| 2 | 13.51 |
| 3 | 16.21 |
| 4 | 15.47 |
| 5 | 15.99 |
| 6 | 26.01 |